First-principles (PBE-GGA) data for a relaxed structure of Re2MoOs, as listed in Alexandria.

Unit cell a=9.2720 b=9.2720 c=9.2720 alpha=17.13 beta=17.13 gamma=17.13
Fractional positions:
Re (0.0000, 0.0000, 0.0000)
Re (0.2527, 0.2527, 0.2527)
Mo (0.4993, 0.4993, 0.4993)
Os (0.7506, 0.7506, 0.7506)

energy of formation from the pure elements	12.1	kJ per mole of atoms
magnetic moment	0.0	Bohr magnetons per cell
total energy	-11.61	eV per atom
E above lowest polymorph	111.7	meV per atom
space-group type	R3m (160)